DFT (GGA-PBE) results for a relaxed structure of CdSi.

Lattice parameters (Å, degrees): 6.7899 6.6388 5.8934 65.30 62.66 52.05
Positions (direct):
Cd 0.0448 0.7052 0.0448
Cd 0.2948 0.9552 0.2948
Cd 0.7052 0.0448 0.7052
Cd 0.9552 0.2948 0.9552
Si 0.2639 0.2639 0.4861
Si 0.4861 0.4861 0.2639
Si 0.5139 0.5139 0.7361
Si 0.7361 0.7361 0.5139

Values from the calculation:
The uncorrected formation energy comes out at 0.79 eV/f.u. The calculation puts the density of states at the Fermi level at 0.667 states/eV/f.u. The symmetry is Fddd (70).

***

DFT (GGA-PBE) results for a relaxed structure of B2C3.

Lattice parameters (Å, degrees): 4.6263 4.6263 6.2690 111.49 111.49 32.85
Positions (direct):
B 0.0000 0.0000 0.0000
B 0.3367 0.3367 0.5857
B 0.5488 0.5488 0.3807
B 0.6902 0.6902 0.9330
C 0.1211 0.1211 0.7720
C 0.1455 0.1455 0.5499
C 0.3523 0.3523 0.3258
C 0.5756 0.5756 0.1350
C 0.7755 0.7755 0.2072
C 0.9318 0.9318 0.7302

Values from the calculation:
The value obtained for the energy relative to the elements is 0.39 eV/atom. The calculation puts the density of states at the Fermi level at 0.802 states/eV/f.u. The symmetry is Cm (8).

***

DFT (GGA-PBE) results for a relaxed structure of TbInRh.

Lattice parameters (Å, degrees): 7.4974 4.0360 12.8667 90.00 90.84 90.00
Positions (direct):
Tb 0.0437 0.2500 0.1223
Tb 0.1585 0.2500 0.4179
Tb 0.4442 0.7500 0.7865
Tb 0.5558 0.2500 0.2135
Tb 0.8415 0.7500 0.5821
Tb 0.9563 0.7500 0.8777
In 0.1142 0.2500 0.7061
In 0.3600 0.7500 0.0450
In 0.4977 0.7500 0.4119
In 0.5023 0.2500 0.5881
In 0.6400 0.2500 0.9550
In 0.8858 0.7500 0.2939
Rh 0.2461 0.7500 0.5812
Rh 0.2472 0.2500 0.9137
Rh 0.2530 0.7500 0.2503
Rh 0.7470 0.2500 0.7497
Rh 0.7528 0.7500 0.0863
Rh 0.7539 0.2500 0.4188

Values from the calculation:
The value obtained for the energy relative to the elements is -0.73 eV/atom. The calculation puts the density of states at the Fermi level at 1.697 states/eV/f.u. The symmetry is P2_1/m (11).

***

DFT (GGA-PBE) results for a relaxed structure of Mg2CoIr.

Lattice parameters (Å, degrees): 3.1555 3.1555 5.9618 90.00 90.00 90.00
Positions (direct):
Mg 0.0000 0.0000 0.2492
Mg 0.0000 0.0000 0.7508
Co 0.5000 0.5000 0.5000
Ir 0.5000 0.5000 0.0000

Values from the calculation:
The value obtained for the energy relative to the elements is -0.03 eV/atom. The calculation puts the density of states at the Fermi level at 5.742 states/eV/f.u. The symmetry is P4/mmm (123).

***

DFT (GGA-PBE) results for a relaxed structure of ScTl3Au.

Lattice parameters (Å, degrees): 5.4397 5.4397 5.4397 90.00 90.00 90.00
Positions (direct):
Sc 0.0000 0.0000 0.0000
Tl 0.0000 0.5000 0.5000
Tl 0.5000 0.0000 0.5000
Tl 0.5000 0.5000 0.0000
Au 0.5000 0.5000 0.5000

Values from the calculation:
The value obtained for the energy relative to the elements is 0.43 eV/atom. The calculation puts the density of states at the Fermi level at 4.888 states/eV/f.u. The symmetry is Pm-3m (221).

***

DFT (GGA-PBE) results for a relaxed structure of Li2EuY.

Lattice parameters (Å, degrees): 12.3629 12.3629 12.3629 15.92 15.92 15.92
Positions (direct):
Li 0.0859 0.0859 0.0859
Li 0.9141 0.9141 0.9141
Eu 0.5000 0.5000 0.5000
Y 0.0000 0.0000 0.0000

Values from the calculation:
The value obtained for the energy relative to the elements is 0.30 eV/atom. The calculation puts the density of states at the Fermi level at 3.896 states/eV/f.u. The symmetry is R-3m (166).

***

DFT (GGA-PBE) results for a relaxed structure of KSbAs2Br.

Lattice parameters (Å, degrees): 6.2842 6.2842 5.6448 90.00 90.00 90.00
Positions (direct):
K 0.0000 0.0000 0.0000
Sb 0.5000 0.5000 0.5000
As 0.0000 0.5000 0.0000
As 0.5000 0.0000 0.0000
Br 0.0000 0.0000 0.5000

Values from the calculation:
The uncorrected formation energy comes out at 5.09 eV/f.u. The calculation puts the density of states at the Fermi level at 1.424 states/eV/f.u. The symmetry is P4/mmm (123).

***

DFT (GGA-PBE) results for a relaxed structure of TaCd2Ni.

Lattice parameters (Å, degrees): 5.0008 5.0008 2.8746 90.00 90.00 90.00
Positions (direct):
Ta 0.0000 0.0000 0.0000
Cd 0.0000 0.5000 0.5000
Cd 0.5000 0.0000 0.5000
Ni 0.5000 0.5000 0.0000

Values from the calculation:
The value obtained for the energy relative to the elements is 0.49 eV/atom. The calculation puts the density of states at the Fermi level at 3.639 states/eV/f.u. The symmetry is P4/mmm (123).